1.
The following is a DFT calculation (GGA-PBE) of a geometry-optimized AlCrRu2 structure. Values from VASP.

## Properties
Its formation enthalpy at 0 K is 0.1 eV per formula unit.

The structure in Quantum ESPRESSO input format:
```
&SYSTEM
  ibrav = 0, nat = 4, ntyp = 3
/
ATOMIC_SPECIES
Al 26.98 Al.upf
Cr 52.00 Cr.upf
Ru 101.07 Ru.upf
CELL_PARAMETERS angstrom
1.446 -2.273 0.000
1.446 2.273 0.000
0.000 0.000 8.297
ATOMIC_POSITIONS angstrom
Al 0.000 0.000 0.000
Cr 0.000 0.000 4.148
Ru 1.446 0.000 2.095
Ru 1.446 0.000 6.202
```

=====

2.
The following is a DFT calculation (GGA-PBE) of a geometry-optimized AlS structure. Values from VASP.

## Properties
For the formation energy from raw total energies, the calculation gives -615 meV/atom.

The structure in Quantum ESPRESSO input format:
```
&SYSTEM
  ibrav = 0, nat = 12, ntyp = 2
/
ATOMIC_SPECIES
Al 26.98 Al.upf
S 32.06 S.upf
CELL_PARAMETERS angstrom
7.153 0.000 0.000
-3.576 6.195 0.000
0.000 0.000 4.858
ATOMIC_POSITIONS angstrom
Al -1.620 4.300 1.215
Al 0.663 2.641 1.215
Al 2.619 0.747 3.644
Al 0.958 5.448 1.215
Al 2.914 3.553 3.644
Al 5.197 1.895 3.644
S -2.003 4.466 3.644
S 0.710 2.227 3.644
S 2.283 0.499 1.215
S 1.293 5.696 3.644
S 2.867 3.968 1.215
S 5.579 1.728 1.215
```